DFT (PBE-GGA) results for a relaxed structure of CsPbO2.

Values from the calculation:
space-group type = No. 166
uncorrected formation energy = -0.7845 eV/atom

Unit cell a=7.9503 b=7.9503 c=7.9503 alpha=26.73 beta=26.73 gamma=26.73
With the nearest neighbours (Å) after each atom.
Atoms (fractional coordinates):
O 0.1176 0.1176 0.1176  3 Pb 2.40
O 0.8824 0.8824 0.8824  3 Pb 2.40
Pb 0.5000 0.5000 0.5000  6 O 2.40
Cs 0.0000 0.0000 0.0000  2 O 2.70

---

DFT (PBE-GGA) results for a relaxed structure of YEr12Sc2.

Values from the calculation:
space-group type = No. 65
formation energy = 0.09 eV per atom

Unit cell a=6.5875 b=6.5875 c=24.6442 alpha=101.34 beta=101.34 gamma=114.28
With the nearest neighbours (Å) after each atom.
Atoms (fractional coordinates):
Er 0.1974 0.1975 0.5580  10 Er 3.21-3.57
Er 0.0613 0.5613 0.8488  8 Er 3.37-3.57, 2 Sc 3.55
Er 0.9926 0.9926 0.1945  10 Er 3.40-3.57, 2 Sc 3.46
Er 0.2248 0.7248 0.5799  8 Er 3.33-3.59, 2 Sc 3.58-3.59
Er 0.7753 0.2753 0.4201  8 Er 3.33-3.59, 2 Sc 3.58-3.59
Er 0.9006 0.9006 0.3205  8 Er 3.31-3.59, 4 Sc 3.39
Er 0.7247 0.2247 0.5799  8 Er 3.33-3.59, 2 Sc 3.58-3.59
Er 0.0840 0.0840 0.0676  5 Er 3.10-3.42
Er 0.2752 0.7752 0.4201  8 Er 3.33-3.59, 2 Sc 3.58-3.59
Er 0.4387 0.9387 0.1512  8 Er 3.37-3.57, 2 Sc 3.55
Er 0.6975 0.6974 0.5580  10 Er 3.21-3.57
Er 0.9387 0.4387 0.1512  8 Er 3.37-3.57, 2 Sc 3.55
Er 0.4160 0.4160 0.9324  5 Er 3.10-3.42
Er 0.5074 0.5074 0.8055  10 Er 3.40-3.57, 2 Sc 3.46
Er 0.8025 0.8026 0.4420  10 Er 3.21-3.57
Er 0.0994 0.0994 0.6795  8 Er 3.31-3.59, 4 Sc 3.39
Er 0.5613 0.0613 0.8488  8 Er 3.37-3.57, 2 Sc 3.55
Er 0.4006 0.4006 0.3205  8 Er 3.31-3.59, 4 Sc 3.39
Er 0.9160 0.9160 0.9324  5 Er 3.10-3.42
Er 0.5840 0.5840 0.0676  5 Er 3.10-3.42
Er 0.4926 0.4926 0.1945  10 Er 3.40-3.57, 2 Sc 3.46
Er 0.5994 0.5994 0.6795  8 Er 3.31-3.59, 4 Sc 3.39
Er 0.3026 0.3025 0.4420  10 Er 3.21-3.57
Er 0.0074 0.0074 0.8055  10 Er 3.40-3.57, 2 Sc 3.46
Sc 0.3559 0.8559 0.2848  10 Er 3.39-3.59, 2 Sc 3.57
Sc 0.1441 0.6441 0.7152  10 Er 3.39-3.59, 2 Sc 3.57
Sc 0.6441 0.1441 0.7152  10 Er 3.39-3.59, 2 Sc 3.57
Sc 0.8559 0.3559 0.2848  10 Er 3.39-3.59, 2 Sc 3.57
Y 0.0000 0.5000 0.0000  2 Y 3.57, 12 Er 3.64-3.91
Y 0.5000 0.0000 0.0000  2 Y 3.57, 12 Er 3.64-3.91